1.
# BaCo2Pb

A PBEsol-optimized structure of BaCo2Pb (SCAN, Alexandria).

Results
As for the space-group type: F-43m, No. 216. As for the relative energy among the computed polymorphs: 157 meV/atom. For the formation energy, the calculation gives 0.65 eV per atom. The calculated total energy comes out at -147.35 eV/cell.

a = 5.017 Å, b = 5.017 Å, c = 5.017 Å
α = 60.00°, β = 60.00°, γ = 60.00°
Last column: magnetic moment on the atom in μB.
Atoms (fractional coordinates):
Co1 0.000 0.000 0.000  2.24
Co2 0.750 0.750 0.750  2.05
Ba1 0.500 0.500 0.500  0.00
Pb1 0.250 0.250 0.250  -0.01

---

2.
# K5Na3TaNb7O24

A PBEsol-optimized structure of K5Na3TaNb7O24 (SCAN, Alexandria).

Results
As for the space-group type: Cm, No. 8. The calculated total energy comes out at -609.40 eV/cell.

a = 7.975 Å, b = 8.042 Å, c = 8.042 Å
α = 89.78°, β = 89.92°, γ = 89.92°
Atoms (fractional coordinates):
O1 0.247 0.495 0.495
O2 0.992 0.747 0.994
O3 0.500 0.993 0.245
O4 0.995 0.245 0.498
O5 0.993 0.746 0.495
O6 0.995 0.498 0.245
O7 0.503 0.993 0.746
O8 0.499 0.496 0.244
O9 0.749 0.993 0.993
O10 0.995 0.244 0.993
O11 0.995 0.993 0.244
O12 0.247 0.496 0.993
O13 0.992 0.994 0.747
O14 0.748 0.493 0.493
O15 0.748 0.989 0.491
O16 0.500 0.745 0.494
O17 0.993 0.495 0.746
O18 0.247 0.993 0.496
O19 0.503 0.746 0.993
O20 0.500 0.245 0.993
O21 0.748 0.491 0.989
O22 0.500 0.494 0.745
O23 0.499 0.244 0.496
O24 0.247 0.994 0.994
Nb1 0.003 0.508 0.008
Nb2 0.507 0.509 0.509
Nb3 0.503 0.008 0.008
Nb4 0.506 0.008 0.510
Nb5 0.506 0.510 0.008
Nb6 0.003 0.008 0.508
Nb7 0.003 0.509 0.509
Na1 0.758 0.768 0.270
Na2 0.756 0.768 0.768
Na3 0.758 0.270 0.768
K1 0.252 0.752 0.752
K2 0.251 0.253 0.253
K3 0.252 0.253 0.753
K4 0.252 0.753 0.253
K5 0.751 0.253 0.253
Ta1 0.001 0.006 0.006

---

3.
# SrYBr2

A PBEsol-optimized structure of SrYBr2 (SCAN, Alexandria).

Results
As for the space-group type: F-43m, No. 216. As for the relative energy among the computed polymorphs: 565 meV/atom. The calculated total energy comes out at -90.99 eV/cell.

a = 5.619 Å, b = 5.619 Å, c = 5.619 Å
α = 60.00°, β = 60.00°, γ = 60.00°
Last column: magnetic moment on the atom in μB.
Atoms (fractional coordinates):
Sr1 0.500 0.500 0.500  0.32
Y1 0.250 0.250 0.250  1.22
Br1 0.000 0.000 0.000  0.06
Br2 0.750 0.750 0.750  0.05

---

4.
# Rh2PbW

A PBEsol-optimized structure of Rh2PbW (SCAN, Alexandria).

Results
As for the space-group type: P4/mmm, No. 123. For the formation energy, the calculation gives 0.42 eV per atom. The calculated total energy comes out at -211.31 eV/cell.

a = 2.847 Å, b = 4.779 Å, c = 4.779 Å
α = 90.00°, β = 90.00°, γ = 90.00°
Atoms (fractional coordinates):
Rh1 0.000 0.000 0.500
Rh2 0.000 0.500 0.000
Pb1 0.500 0.000 0.000
W1 0.500 0.500 0.500

---

5.
# BaYO3

A PBEsol-optimized structure of BaYO3 (SCAN, Alexandria).

Results
As for the space-group type: Pm-3m, No. 221. The calculated total energy comes out at -100.91 eV/cell.

a = 4.371 Å, b = 4.371 Å, c = 4.371 Å
α = 90.00°, β = 90.00°, γ = 90.00°
Last column: magnetic moment on the atom in μB.
Atoms (fractional coordinates):
O1 0.000 0.500 0.500  0.30
O2 0.500 0.500 0.000  0.30
O3 0.500 0.000 0.500  0.30
Ba1 0.000 0.000 0.000  -0.02
Y1 0.500 0.500 0.500  0.04

---

6.
# Ta2CoP

A PBEsol-optimized structure of Ta2CoP (SCAN, Alexandria).

Results
As for the space-group type: Amm2, No. 38. For the formation energy, the calculation gives -0.57 eV per atom. The calculated total energy comes out at -163.16 eV/cell.

a = 3.421 Å, b = 3.482 Å, c = 5.003 Å
α = 90.00°, β = 109.99°, γ = 90.00°
Atoms (fractional coordinates):
P1 0.555 0.500 0.110
Ta1 0.278 0.500 0.556
Ta2 0.969 0.000 0.939
Co1 0.695 0.000 0.390

---

7.
# Mg2ScCr3S8

A PBEsol-optimized structure of Mg2ScCr3S8 (SCAN, Alexandria).

Results
As for the space-group type: R-3m, No. 166. The calculated total energy comes out at -176.97 eV/cell.

a = 7.202 Å, b = 7.202 Å, c = 7.202 Å
α = 60.15°, β = 60.15°, γ = 60.15°
Last column: magnetic moment on the atom in μB.
Atoms (fractional coordinates):
S1 0.736 0.736 0.736  -0.06
S2 0.252 0.716 0.252  -0.03
S3 0.284 0.748 0.748  -0.03
S4 0.748 0.284 0.748  -0.03
S5 0.252 0.252 0.716  -0.03
S6 0.264 0.264 0.264  -0.06
S7 0.748 0.748 0.284  -0.03
S8 0.716 0.252 0.252  -0.03
Mg1 0.125 0.125 0.125  0.01
Mg2 0.875 0.875 0.875  0.01
Cr1 0.000 0.500 0.500  2.92
Cr2 0.500 0.500 0.000  2.92
Cr3 0.500 0.000 0.500  2.92
Sc1 0.500 0.500 0.500  0.04

---

8.
# LaTaPd2I

A PBEsol-optimized structure of LaTaPd2I (SCAN, Alexandria).

Results
As for the space-group type: P4/mmm, No. 123. The calculated total energy comes out at -208.80 eV/cell.

a = 4.942 Å, b = 4.942 Å, c = 5.097 Å
α = 90.00°, β = 90.00°, γ = 90.00°
Last column: magnetic moment on the atom in μB.
Atoms (fractional coordinates):
La1 0.500 0.500 0.500  0.12
Pd1 0.000 0.500 0.000  0.03
Pd2 0.500 0.000 0.000  0.03
Ta1 0.000 0.000 0.500  0.78
I1 0.000 0.000 0.000  -0.01

---

For reference, magnetization by record: 4.3, 0.0, 3.0, 0.0, 1.0, 0.0, 9.0, 1.4 μB/f.u..